Entry 1:
# AcZnGa4 PBE relaxed
# total magnetization	0.000	μB/cell
# Fermi-level density of states	1.84	states/eV/f.u.
# ΔE_f	-264	meV per atom
# symmetry	Pbam
data_AcZnGa4
_chemical_formula_sum 'Ac4 Zn4 Ga16'
_cell_length_a 8.211
_cell_length_b 15.822
_cell_length_c 4.066
_cell_angle_alpha 90.00
_cell_angle_beta 90.00
_cell_angle_gamma 90.00
_symmetry_space_group_name_H-M 'P 1'
_symmetry_Int_Tables_number 1
_symmetry_space_group_name_Hall 'P 1'
loop_
_atom_site_label
_atom_site_type_symbol
_atom_site_fract_x
_atom_site_fract_y
_atom_site_fract_z
Ac1 Ac 0.127 0.150 0.000
Ac2 Ac 0.373 0.650 0.000
Ac3 Ac 0.627 0.350 0.000
Ac4 Ac 0.873 0.850 0.000
Zn1 Zn 0.146 0.404 0.000
Zn2 Zn 0.354 0.904 0.000
Zn3 Zn 0.646 0.096 0.000
Zn4 Zn 0.854 0.596 0.000
Ga1 Ga 0.020 0.693 0.500
Ga2 Ga 0.114 0.547 0.500
Ga3 Ga 0.133 0.965 0.500
Ga4 Ga 0.213 0.812 0.500
Ga5 Ga 0.287 0.312 0.500
Ga6 Ga 0.367 0.465 0.500
Ga7 Ga 0.386 0.047 0.500
Ga8 Ga 0.480 0.193 0.500
Ga9 Ga 0.520 0.807 0.500
Ga10 Ga 0.614 0.953 0.500
Ga11 Ga 0.633 0.535 0.500
Ga12 Ga 0.713 0.688 0.500
Ga13 Ga 0.787 0.188 0.500
Ga14 Ga 0.867 0.035 0.500
Ga15 Ga 0.886 0.453 0.500
Ga16 Ga 0.980 0.307 0.500

=====

Entry 2:
# Ac6ZnGa2 PBE relaxed
# total magnetization	0.000	μB/cell
# Fermi-level density of states	11.13	states/eV/f.u.
# ΔE_f	-196	meV per atom
# symmetry	P2_1/c
data_Ac6ZnGa2
_chemical_formula_sum 'Ac12 Zn2 Ga4'
_cell_length_a 7.098
_cell_length_b 8.886
_cell_length_c 12.127
_cell_angle_alpha 90.00
_cell_angle_beta 121.36
_cell_angle_gamma 90.00
_symmetry_space_group_name_H-M 'P 1'
_symmetry_Int_Tables_number 1
_symmetry_space_group_name_Hall 'P 1'
loop_
_atom_site_label
_atom_site_type_symbol
_atom_site_fract_x
_atom_site_fract_y
_atom_site_fract_z
Ac1 Ac 0.077 0.051 0.228
Ac2 Ac 0.077 0.449 0.728
Ac3 Ac 0.193 0.688 0.070
Ac4 Ac 0.193 0.812 0.570
Ac5 Ac 0.412 0.165 0.057
Ac6 Ac 0.412 0.335 0.557
Ac7 Ac 0.588 0.665 0.443
Ac8 Ac 0.588 0.835 0.943
Ac9 Ac 0.807 0.188 0.430
Ac10 Ac 0.807 0.312 0.930
Ac11 Ac 0.923 0.551 0.272
Ac12 Ac 0.923 0.949 0.772
Zn1 Zn 0.500 0.000 0.500
Zn2 Zn 0.500 0.500 0.000
Ga1 Ga 0.317 0.123 0.745
Ga2 Ga 0.317 0.377 0.245
Ga3 Ga 0.683 0.623 0.755
Ga4 Ga 0.683 0.877 0.255